# 1
A plane-wave DFT calculation with PBE was carried out for a relaxed structure of CaLaSc2.

Unit cell a=3.894 b=5.619 c=5.619 alpha=90.00 beta=90.00 gamma=90.00
Positions (direct):
Sc  0.000  0.000  0.000
Sc  0.000  0.500  0.500
Ca  0.500  0.500  0.000
La  0.500  0.000  0.500

Output
* ΔH_f (0 K): 0.198 eV/atom
* uncorrected energy: -18.800 eV for the cell shown
* polymorph energy (0 for the lowest one): 87 meV/atom
* M_tot: 0.00 μB/f.u.
* space-group type: P4/mmm



# 2
A plane-wave DFT calculation with PBE was carried out for a relaxed structure of AlGeRhS2.

Unit cell a=4.743 b=4.679 c=4.743 alpha=90.00 beta=90.00 gamma=90.00
Positions (direct):
Ge  0.000  0.000  0.000
Rh  0.000  0.500  0.000
S  0.000  0.000  0.500
S  0.500  0.000  0.000
Al  0.500  0.500  0.500

Output
* ΔE_f (raw): 3.2 eV/f.u.
* uncorrected energy: -20.749 eV for the cell shown
* M_tot: 0.00 μB/f.u.
* space-group type: P4/mmm



# 3
A plane-wave DFT calculation with PBE was carried out for a relaxed structure of AcNd2Tl3Se6.

Unit cell a=7.638 b=7.638 c=8.142 alpha=99.00 beta=99.00 gamma=119.96
Positions (direct):
Ac  0.000  0.000  0.000
Nd  0.333  0.667  0.000
Nd  0.667  0.333  0.000
Tl  0.166  0.834  0.500
Tl  0.834  0.166  0.500
Tl  0.500  0.500  0.500
Se  0.929  0.584  0.786
Se  0.726  0.726  0.212
Se  0.071  0.416  0.214
Se  0.584  0.929  0.786
Se  0.274  0.274  0.788
Se  0.416  0.071  0.214

Output
* ΔE_f (raw): -16.8 eV/f.u.
* uncorrected energy: -58.401 eV for the cell shown
* M_tot: 0.00 μB/f.u.
* space-group type: C2/m



# 4
A plane-wave DFT calculation with PBE was carried out for a relaxed structure of Y2NiSbP.

Unit cell a=5.226 b=5.009 c=5.226 alpha=90.00 beta=90.00 gamma=90.00
Positions (direct):
Y  0.000  0.000  0.500
Y  0.500  0.000  0.000
Sb  0.000  0.500  0.000
P  0.000  0.000  0.000
Ni  0.500  0.500  0.500

Output
* ΔE_f (raw): 0.3 eV/f.u.
* uncorrected energy: -27.946 eV for the cell shown
* M_tot: 0.00 μB/f.u.
* space-group type: P4/mmm



# 5
A plane-wave DFT calculation with PBE was carried out for a relaxed structure of ZrPC3.

Unit cell a=3.674 b=3.674 c=3.674 alpha=90.00 beta=90.00 gamma=90.00
Positions (direct):
P  0.000  0.000  0.000
C  0.000  0.500  0.000
C  0.000  0.000  0.500
C  0.500  0.000  0.000
Zr  0.500  0.500  0.500

Output
* ΔH_f (0 K): 1.164 eV/atom
* uncorrected energy: -35.810 eV for the cell shown
* polymorph energy (0 for the lowest one): 0 meV/atom
* M_tot: 0.00 μB/f.u.
* space-group type: Pm-3m



# 6
A plane-wave DFT calculation with PBE was carried out for a relaxed structure of TlCo2Ru.

Unit cell a=8.716 b=8.716 c=8.716 alpha=18.81 beta=18.81 gamma=18.81
Positions (direct):
Co  0.993  0.993  0.993
Co  0.507  0.507  0.507
Ru  0.250  0.250  0.250
Tl  0.750  0.750  0.750

Output
* ΔH_f (0 K): 0.653 eV/atom
* uncorrected energy: -23.241 eV for the cell shown
* polymorph energy (0 for the lowest one): 186 meV/atom
* M_tot: 3.13 μB/f.u.
* space-group type: R-3m



# 7
A plane-wave DFT calculation with PBE was carried out for a relaxed structure of AcSmSbAs.

Unit cell a=4.432 b=4.431 c=8.202 alpha=90.02 beta=105.68 gamma=119.99
Positions (direct):
Ac  0.298  0.547  0.860
Sm  0.974  0.385  0.374
Sb  0.145  0.971  0.131
As  0.461  0.128  0.604

Output
* ΔE_f (raw): -4.6 eV/f.u.
* uncorrected energy: -22.192 eV for the cell shown
* M_tot: 0.00 μB/f.u.
* space-group type: R3m



# 8
A plane-wave DFT calculation with PBE was carried out for a relaxed structure of Rb4Al2S5.

Unit cell a=9.720 b=11.699 c=11.705 alpha=90.00 beta=90.00 gamma=90.00
Positions (direct):
Rb  0.232  0.523  0.890
Rb  0.732  0.477  0.110
Rb  0.732  0.977  0.390
Rb  0.232  0.023  0.610
Rb  0.716  0.555  0.425
Rb  0.216  0.445  0.575
Rb  0.216  0.945  0.925
Rb  0.716  0.055  0.075
Rb  0.362  0.755  0.428
Rb  0.862  0.245  0.572
Rb  0.862  0.745  0.928
Rb  0.362  0.255  0.072
Rb  0.475  0.754  0.113
Rb  0.975  0.246  0.887
Rb  0.975  0.746  0.613
Rb  0.475  0.254  0.387
Al  0.182  0.540  0.222
Al  0.682  0.460  0.778
Al  0.682  0.960  0.722
Al  0.182  0.040  0.278
Al  0.001  0.749  0.263
Al  0.501  0.251  0.737
Al  0.501  0.751  0.763
Al  0.001  0.249  0.237
S  0.403  0.509  0.258
S  0.903  0.491  0.742
S  0.903  0.991  0.758
S  0.403  0.009  0.242
S  0.052  0.593  0.377
S  0.552  0.407  0.623
S  0.552  0.907  0.877
S  0.052  0.093  0.123
S  0.143  0.704  0.112
S  0.643  0.296  0.888
S  0.643  0.796  0.612
S  0.143  0.204  0.388
S  0.281  0.741  0.714
S  0.781  0.259  0.286
S  0.781  0.759  0.214
S  0.281  0.241  0.786
S  0.071  0.898  0.376
S  0.571  0.102  0.624
S  0.571  0.602  0.876
S  0.071  0.398  0.124

Output
* ΔE_f (raw): -14.1 eV/f.u.
* uncorrected energy: -184.243 eV for the cell shown
* M_tot: 0.00 μB/f.u.
* space-group type: Pna2_1